1.
Nd2Zn15Au2 | PBE-GGA | optimized geometry

```
Nd2Zn15Au2
1.0
4.537 2.619 4.447
-4.537 2.619 4.447
0.000 -5.239 4.447
Nd Zn Au
2 15 2
direct
0.160 0.160 0.160 Nd
0.840 0.840 0.840 Nd
0.000 0.500 0.500 Zn
0.149 0.149 0.663 Zn
0.149 0.663 0.149 Zn
0.207 0.500 0.793 Zn
0.207 0.793 0.500 Zn
0.337 0.851 0.851 Zn
0.500 0.000 0.500 Zn
0.500 0.207 0.793 Zn
0.500 0.500 0.000 Zn
0.500 0.793 0.207 Zn
0.663 0.149 0.149 Zn
0.793 0.207 0.500 Zn
0.793 0.500 0.207 Zn
0.851 0.337 0.851 Zn
0.851 0.851 0.337 Zn
0.391 0.391 0.391 Au
0.609 0.609 0.609 Au
```

The value obtained for the total energy is -40.8 eV per cell. As for the space group: R-3m. The volume comes out at 16.7 Å³ per atom. For the formation energy, the calculation gives -0.303 eV per atom.


2.
NdZrAu | PBE-GGA | optimized geometry

```
NdZrAu
1.0
0.000 3.384 3.384
3.384 0.000 3.384
3.384 3.384 0.000
Nd Zr Au
1 1 1
direct
0.000 0.000 0.000 Nd
0.750 0.750 0.750 Zr
0.500 0.500 0.500 Au
```

The value obtained for the total energy is -15.7 eV per cell. The calculation puts the energy above the most stable polymorph in this dataset at 0.000 eV per atom. As for the space group: F-43m. The volume comes out at 25.8 Å³ per atom. For the formation energy, the calculation gives 0.276 eV per atom.


3.
NdZrAu | PBE-GGA | optimized geometry

```
NdZrAu
1.0
0.000 3.406 3.406
3.406 0.000 3.406
3.406 3.406 0.000
Nd Zr Au
1 1 1
direct
0.000 0.000 0.000 Nd
0.250 0.250 0.250 Zr
0.750 0.750 0.750 Au
```

The value obtained for the total energy is -14.9 eV per cell. The calculation puts the energy above the most stable polymorph in this dataset at 0.297 eV per atom. As for the space group: F-43m. The volume comes out at 26.3 Å³ per atom. For the formation energy, the calculation gives 0.573 eV per atom.


4.
NdZrAu6 | PBE-GGA | optimized geometry

```
NdZrAu6
1.0
4.972 0.000 0.000
0.000 6.274 0.000
0.000 0.000 5.090
Nd Zr Au
1 1 6
direct
0.000 0.000 0.000 Nd
0.500 0.500 0.319 Zr
0.000 0.270 0.499 Au
0.000 0.500 0.007 Au
0.000 0.730 0.499 Au
0.500 0.000 0.350 Au
0.500 0.264 0.826 Au
0.500 0.736 0.826 Au
```

The value obtained for the total energy is -37.5 eV per cell. As for the space group: Pmm2. The volume comes out at 19.8 Å³ per atom. For the formation energy, the calculation gives -0.578 eV per atom.


5.
NiAu | PBE-GGA | optimized geometry

```
NiAu
1.0
2.784 0.000 0.000
-1.392 2.411 0.000
0.000 0.000 4.352
Ni Au
1 1
direct
0.000 0.000 0.000 Ni
0.333 0.667 0.500 Au
```

The value obtained for the total energy is -8.4 eV per cell. As for the space group: P-6m2. The volume comes out at 14.6 Å³ per atom. For the formation energy, the calculation gives 0.205 eV per atom.


6.
Ni2Au | PBE-GGA | optimized geometry

```
Ni2Au
1.0
0.000 5.478 5.478
5.478 0.000 5.478
5.478 5.478 0.000
Ni Au
4 2
direct
0.000 0.000 0.000 Ni
0.000 0.000 0.500 Ni
0.000 0.500 0.000 Ni
0.500 0.000 0.000 Ni
0.125 0.125 0.125 Au
0.875 0.875 0.875 Au
```

The value obtained for the total energy is -16.8 eV per cell. As for the space group: Fd-3m. The volume comes out at 54.8 Å³ per atom. For the formation energy, the calculation gives 1.995 eV per atom.